[1]
The following is a PBE calculation of a geometry-optimized Dy7HoSc3 structure, from Alexandria via LeMat-Bulk.

The calculation puts the offset from the most stable computed form at 67 meV/atom. The total moment comes out at 0.0 μB per formula unit. Its total energy is -0.178 Ha/atom.

```
Dy7HoSc3
1.0
6.9348 0.0000 0.0000
-3.4674 6.0057 0.0000
0.0000 0.0000 8.2338
Dy Ho Sc
7 1 3
Direct
0.0000 0.0000 0.0000
0.1654 0.3309 0.6568
0.1654 0.8346 0.6568
0.5012 0.0025 0.0121
0.5012 0.4988 0.0121
0.6691 0.8346 0.6568
0.9975 0.4988 0.0121
0.6667 0.3333 0.6686
0.3336 0.1668 0.3347
0.8332 0.1668 0.3347
0.8332 0.6664 0.3347
```


[2]
The following is a PBE calculation of a geometry-optimized MgGa2 structure, from Alexandria via LeMat-Bulk.

The total moment comes out at 0.0 μB per formula unit. Its total energy is -0.095 Ha/atom.

```
MgGa2
1.0
3.0583 0.0000 0.0000
-1.5291 2.6485 0.0000
0.0000 0.0000 14.4434
Mg Ga
2 4
Direct
0.0000 0.0000 0.1617
0.0000 0.0000 0.8383
0.0000 0.0000 0.5000
0.6667 0.3333 0.0000
0.6667 0.3333 0.3299
0.6667 0.3333 0.6701
```


Density of states at the Fermi level for the records above, in order: 18.19; 0.69 states/eV/f.u.